(1)
Compound: MgUPb2
Source: Alexandria via LeMat-Bulk
Functional: PBE-GGA
Structure: relaxed

Magnetic moment = 2.62 μB per formula unit
Formation enthalpy at 0 K = 0.4 eV per formula unit

abc: 4.342 4.934 4.934
angles: 90.00 90.00 90.00
Site moments in Bohr magnetons follow the coordinates.
Atoms (fractional coordinates):
Pb  0.000  0.000  0.500  -0.02
Pb  0.000  0.500  0.000  -0.02
U  0.500  0.500  0.500  2.44
Mg  0.500  0.000  0.000  0.00


(2)
Compound: POsNCl2
Source: Alexandria via LeMat-Bulk
Functional: PBE-GGA
Structure: relaxed

ΔE to the lowest computed polymorph = 0 meV per atom
Magnetic moment = 2.11 μB per formula unit
E_form (uncorrected) = 1.30 eV/atom

abc: 4.964 4.964 4.476
angles: 90.00 90.00 90.00
Site moments in Bohr magnetons follow the coordinates.
Atoms (fractional coordinates):
Cl  0.000  0.500  0.000  -0.02
Cl  0.500  0.000  0.000  -0.02
P  0.000  0.000  0.500  -0.07
N  0.500  0.500  0.500  1.86
Os  0.000  0.000  0.000  -0.44


(3)
Compound: NaCrGa2Ag
Source: Alexandria via LeMat-Bulk
Functional: PBE-GGA
Structure: relaxed

Magnetic moment = 0.27 μB per formula unit
Formation enthalpy at 0 K = 7.5 eV per formula unit

abc: 4.900 4.755 4.900
angles: 90.00 90.00 90.00
Site moments in Bohr magnetons follow the coordinates.
Atoms (fractional coordinates):
Ga  0.000  0.000  0.500  0.02
Ga  0.500  0.000  0.000  0.02
Ag  0.000  0.500  0.000  0.00
Na  0.000  0.000  0.000  0.01
Cr  0.500  0.500  0.500  0.13


(4)
Compound: Nd2Dy6Tm5
Source: Alexandria via LeMat-Bulk
Functional: PBE-GGA
Structure: relaxed

Magnetic moment = 0.00 μB per formula unit
Formation enthalpy at 0 K = 1.3 eV per formula unit

abc: 3.571 11.650 20.061
angles: 90.00 90.00 90.00
Atoms (fractional coordinates):
Dy  0.000  0.058  0.078
Dy  0.000  0.920  0.634
Dy  0.000  0.420  0.866
Dy  0.500  0.677  0.874
Dy  0.500  0.323  0.126
Dy  0.000  0.558  0.422
Dy  0.000  0.942  0.922
Dy  0.500  0.177  0.626
Dy  0.000  0.442  0.578
Dy  0.000  0.580  0.134
Dy  0.000  0.080  0.366
Dy  0.500  0.823  0.374
Nd  0.000  0.165  0.784
Nd  0.000  0.835  0.216
Nd  0.000  0.335  0.284
Nd  0.000  0.665  0.716
Tm  0.500  0.801  0.051
Tm  0.500  0.595  0.278
Tm  0.500  0.199  0.949
Tm  0.500  0.905  0.778
Tm  0.500  0.699  0.551
Tm  0.500  0.000  0.500
Tm  0.500  0.301  0.449
Tm  0.500  0.095  0.222
Tm  0.500  0.405  0.722
Tm  0.500  0.500  0.000


(5)
Compound: MnReBr
Source: Alexandria via LeMat-Bulk
Functional: PBE-GGA
Structure: relaxed

ΔE to the lowest computed polymorph = 528 meV per atom
Magnetic moment = 2.46 μB per formula unit
E_form (uncorrected) = 1.11 eV/atom

abc: 4.238 4.238 4.238
angles: 60.00 60.00 60.00
Site moments in Bohr magnetons follow the coordinates.
Atoms (fractional coordinates):
Re  0.750  0.750  0.750  -0.57
Br  0.000  0.000  0.000  0.06
Mn  0.500  0.500  0.500  2.83


(6)
Compound: Ca2SnHg5
Source: Alexandria via LeMat-Bulk
Functional: PBE-GGA
Structure: relaxed

ΔE to the lowest computed polymorph = 12 meV per atom
Magnetic moment = 0.00 μB per formula unit
Formation enthalpy at 0 K = -2.8 eV per formula unit

abc: 6.645 6.646 6.626
angles: 120.18 120.09 90.00
Atoms (fractional coordinates):
Hg  0.721  0.722  0.945
Hg  0.721  0.223  0.944
Hg  0.724  0.724  0.448
Hg  0.223  0.223  0.944
Hg  0.223  0.721  0.945
Ca  0.722  0.223  0.444
Ca  0.222  0.721  0.444
Sn  0.221  0.220  0.441